No. 1
VASP calculation (PBE) on CaHoIr after structural relaxation.

## Properties
- space-group type = P-1
- density of states at the Fermi level (states/eV per cell) = 11.5
- total energy (eV/atom) = -5.5670

abc: 5.333 7.691 11.566
angles: 94.18 97.48 100.35
Fractional positions:
Ca  0.076  0.139  0.165
Ca  0.211  0.327  0.487
Ca  0.342  0.290  0.803
Ca  0.658  0.710  0.197
Ca  0.789  0.673  0.513
Ca  0.924  0.861  0.835
Ho  0.000  0.500  0.000
Ho  0.278  0.866  0.387
Ho  0.335  0.683  0.712
Ho  0.500  0.000  0.000
Ho  0.665  0.317  0.288
Ho  0.722  0.134  0.613
Ir  0.171  0.508  0.273
Ir  0.192  0.986  0.617
Ir  0.493  0.348  0.059
Ir  0.507  0.652  0.941
Ir  0.808  0.014  0.383
Ir  0.829  0.492  0.727

No. 2
VASP calculation (PBE) on OsWCl after structural relaxation.

## Properties
- space-group type = P3m1
- density of states at the Fermi level (states/eV per cell) = 1.2
- total energy (eV/atom) = -8.3286
- uncorrected formation energy (eV/atom) = 0.348

abc: 2.890 2.890 6.864
angles: 90.00 90.00 120.00
Fractional positions:
Os  0.000  0.000  0.000
W  0.667  0.333  0.298
Cl  0.333  0.667  0.579

No. 3
VASP calculation (PBE) on BaBeAl2Fe after structural relaxation.

## Properties
- space-group type = P4/mmm
- density of states at the Fermi level (states/eV per cell) = 8.9
- total energy (eV/atom) = -1.7535

abc: 5.434 5.434 4.647
angles: 90.00 90.00 90.00
Fractional positions:
Ba  0.000  0.000  0.000
Be  0.000  0.000  0.500
Al  0.000  0.500  0.000
Al  0.500  0.000  0.000
Fe  0.500  0.500  0.500